VASP calculation (GGA-PBE) on a relaxed structure of Hf2FeOsN.

a = 4.3920 Å, b = 3.9292 Å, c = 4.3920 Å
α = 90.00°, β = 90.00°, γ = 90.00°
With the nearest neighbours (Å) after each atom.
Element x y z (fractional)
Hf  0.5000  0.0000  0.0000  2 N 2.20
Fe  0.5000  0.5000  0.5000  8 Hf 2.95, 4 Os 3.11
Hf  0.0000  0.0000  0.5000  2 N 2.20
Os  0.0000  0.5000  0.0000  2 N 1.96
N  0.0000  0.0000  0.0000  2 Os 1.96, 4 Hf 2.20

Computed properties:
SG ... P4/mmm
M_tot ... 1.90 μB/cell
DOS at the Fermi energy ... 5.081 states/eV/cell
Raw formation energy ... -201 kJ/mol of formula units
DFT total energy ... -50.01 eV per cell
Density ... 13.5 g/cm³


VASP calculation (GGA-PBE) on a relaxed structure of HfTaHRh2.

a = 4.0975 Å, b = 4.0975 Å, c = 4.0681 Å
α = 90.00°, β = 90.00°, γ = 90.00°
With the nearest neighbours (Å) after each atom.
Element x y z (fractional)
H  0.0000  0.0000  0.0000  2 Ta 2.03, 4 Rh 2.05
Hf  0.5000  0.5000  0.5000  8 Rh 2.89, 4 Ta 2.90
Rh  0.5000  0.0000  0.0000  2 H 2.05
Rh  0.0000  0.5000  0.0000  2 H 2.05
Ta  0.0000  0.0000  0.5000  2 H 2.03

Computed properties:
SG ... P4/mmm
M_tot ... 0.00 μB/cell
DOS at the Fermi energy ... 4.458 states/eV/cell
DFT total energy ... -41.89 eV per cell
Density ... 13.8 g/cm³


VASP calculation (GGA-PBE) on a relaxed structure of SnSb2RhI.

a = 5.1207 Å, b = 5.1207 Å, c = 5.6672 Å
α = 90.00°, β = 90.00°, γ = 90.00°
With the nearest neighbours (Å) after each atom.
Element x y z (fractional)
Sb  0.5000  0.0000  0.0000  2 Rh 2.56
Rh  0.0000  0.0000  0.0000  4 Sb 2.56, 2 I 2.83
Sb  0.0000  0.5000  0.0000  2 Rh 2.56
I  0.0000  0.0000  0.5000  2 Rh 2.83
Sn  0.5000  0.5000  0.5000  4 I 3.62, 8 Sb 3.82

Computed properties:
SG ... P4/mmm
M_tot ... 0.00 μB/cell
DOS at the Fermi energy ... 4.171 states/eV/cell
Raw formation energy ... 135 kJ/mol of formula units
DFT total energy ... -19.75 eV per cell
Density ... 6.6 g/cm³


VASP calculation (GGA-PBE) on a relaxed structure of RbBPb.

a = 9.3224 Å, b = 8.1276 Å, c = 8.1276 Å
α = 151.49°, β = 135.75°, γ = 44.25°
With the nearest neighbours (Å) after each atom.
Element x y z (fractional)
B  0.9882  0.0327  0.9673  1 B 1.57
Pb  0.7648  0.6858  0.3142  4 B 2.60-2.80
Pb  0.2000  0.0578  0.9422  1 B 2.28
Rb  0.2645  0.2994  0.7006  3 B 3.19-3.41
Rb  0.6874  0.4386  0.5614  2 B 3.28
B  0.8054  0.0451  0.9549  1 B 1.57

Computed properties:
SG ... Cm
M_tot ... 0.00 μB/cell
DOS at the Fermi energy ... 1.087 states/eV/cell
Formation enthalpy at 0 K ... 0.45 eV/atom
DFT total energy ... -20.03 eV per cell
Density ... 5.1 g/cm³